ScCuHgSe3 PBE relaxed; raw total energy = -4.15 eV/atom
1.0
1.903 -6.684 0.000
1.903 6.684 0.000
0.000 0.000 10.315
Cu Hg Sc Se
2 2 2 6
Direct
0.969 0.031 0.250
0.031 0.969 0.750
0.258 0.742 0.250
0.742 0.258 0.750
0.500 0.500 0.000
0.500 0.500 0.500
0.864 0.136 0.060
0.588 0.412 0.250
0.864 0.136 0.440
0.136 0.864 0.560
0.412 0.588 0.750
0.136 0.864 0.940